Material: LaTl
Method: DFT, PBE-GGA
State: relaxed

V	32.80	Å³ per atom
mass density	8.69	g/cm³
DFT formation energy	-0.117	eV per atom
crystal system	hexagonal
E	-30.11	eV per cell
total moment	0.0	μB per formula unit

Geometry as CIF:
```
data_LaTl
_chemical_formula_sum 'La4 Tl4'
_cell_length_a 5.4603
_cell_length_b 5.4603
_cell_length_c 10.1612
_cell_angle_alpha 90.00
_cell_angle_beta 90.00
_cell_angle_gamma 120.00
_space_group_name_H-M_alt 'P 1'
_space_group_IT_number 1
loop_
_space_group_symop_operation_xyz
'x,y,z'
loop_
_atom_site_label
_atom_site_fract_x
_atom_site_fract_y
_atom_site_fract_z
_atom_site_occupancy
La1 0.6667 0.3333 0.6014 1
La2 0.6667 0.3333 0.8986 1
La3 0.3333 0.6667 0.3986 1
La4 0.3333 0.6667 0.1014 1
Tl1 0.3333 0.6667 0.7500 1
Tl2 0.0000 0.0000 0.7500 1
Tl3 0.0000 0.0000 0.2500 1
Tl4 0.6667 0.3333 0.2500 1
```